#one
Below is a relaxed Al2Hg2Sb crystal, with properties calculated at the PBE-GGA level.

```
10
Lattice="8.4809 0.0000 0.0000 0.0000 8.4809 0.0000 0.0000 0.0000 3.1460" Properties=species:S:1:pos:R:3 pbc="T T T"
Sb 0.0000 0.0000 0.0000
Sb 4.2404 4.2404 0.0000
Hg 2.7182 6.9587 0.0000
Hg 6.9587 5.7627 0.0000
Hg 5.7627 1.5222 0.0000
Hg 1.5222 2.7182 0.0000
Al 1.0018 5.2423 1.5730
Al 5.2423 7.4790 1.5730
Al 7.4790 3.2386 1.5730
Al 3.2386 1.0018 1.5730
```

Summary:
Space-group type: P4/mbm, No. 127
Calculated volume (Å³ per atom): 22.63
DOS at the Fermi energy (states/eV/f.u.): 2.03


#two
Below is a relaxed Al2Hg2Sb crystal, with properties calculated at the PBE-GGA level.

```
5
Lattice="-1.7888 0.4194 3.8689 2.4116 -3.2225 1.4643 4.7688 2.6702 4.2861" Properties=species:S:1:pos:R:3 pbc="T T T"
Sb 0.0000 0.0000 0.0000
Hg 1.3140 -0.4857 3.0309
Hg 4.0777 0.3529 6.5885
Al 1.6457 0.8440 5.4108
Al 3.7459 -0.9769 4.2085
```

Summary:
Space-group type: I4/mmm, No. 139
Calculated volume (Å³ per atom): 22.93
DOS at the Fermi energy (states/eV/f.u.): 1.63


Stability ranking, top and bottom: #one is the most stable and #two is the least stable.


#one
Below is a relaxed ScAlHg crystal, with properties calculated at the PBE-GGA level.

```
3
Lattice="6.4500 0.0175 -0.0188 5.6659 3.0821 -0.0231 0.7840 0.2050 3.0577" Properties=species:S:1:pos:R:3 pbc="T T T"
Sc 8.2640 2.1157 1.0117
Hg 4.6150 1.1836 2.0098
Al 0.8050 0.2103 3.0520
```

Summary:
Space-group type: I4mm, No. 107
Calculated volume (Å³ per atom): 20.18
DOS at the Fermi energy (states/eV/f.u.): 1.11


#two
Below is a relaxed ScAlHg crystal, with properties calculated at the PBE-GGA level.

```
3
Lattice="4.5639 0.0000 0.0000 2.2820 3.9525 0.0000 2.2820 1.3175 3.7264" Properties=species:S:1:pos:R:3 pbc="T T T"
Sc 0.0000 0.0000 0.0000
Hg 6.8459 3.9525 2.7948
Al 4.5639 2.6350 1.8632
```

Summary:
Space-group type: F-43m, No. 216
Calculated volume (Å³ per atom): 22.41
DOS at the Fermi energy (states/eV/f.u.): 0.63


#three
Below is a relaxed ScAlHg crystal, with properties calculated at the PBE-GGA level.

```
6
Lattice="5.6808 -0.0133 -0.0102 1.8424 4.1736 -0.0038 0.0546 -2.5139 5.0945" Properties=species:S:1:pos:R:3 pbc="T T T"
Sc 1.8459 3.4564 0.7274
Sc 3.8067 0.0995 3.2513
Hg 4.5900 2.2462 1.1794
Hg 6.6106 1.3550 2.9668
Al 2.8452 0.5226 0.2031
Al 1.0515 -1.1776 3.6643
```

Summary:
Space-group type: Imm2, No. 44
Calculated volume (Å³ per atom): 20.15
DOS at the Fermi energy (states/eV/f.u.): 2.47


#four
Below is a relaxed ScAlHg crystal, with properties calculated at the PBE-GGA level.

```
6
Lattice="3.3978 0.0006 0.0003 -1.7029 5.7531 -0.0090 1.6965 1.3199 6.2672" Properties=species:S:1:pos:R:3 pbc="T T T"
Sc 0.7509 5.2034 1.5679
Sc 4.1524 1.4719 3.6726
Hg 0.7517 5.3814 5.4946
Hg 2.4501 2.6126 6.0130
Al 2.4501 4.1274 3.6493
Al 2.4532 2.5478 1.5915
```

Summary:
Space-group type: C2/m, No. 12
Calculated volume (Å³ per atom): 20.43
DOS at the Fermi energy (states/eV/f.u.): 1.39


Stability ranking, top and bottom: #three is the most stable and #one is the least stable.


#one
Below is a relaxed ScAlHg crystal, with properties calculated at the PBE-GGA level.

```
6
Lattice="3.7933 -2.1901 0.0000 0.0000 4.3801 0.0000 0.0000 0.0000 10.7596" Properties=species:S:1:pos:R:3 pbc="T T T"
Sc 0.0000 0.0000 0.0000
Sc 0.0000 0.0000 5.3798
Hg 1.2644 2.1901 2.6899
Hg 2.5289 0.0000 8.0697
Al 0.0000 0.0000 2.6899
Al 0.0000 0.0000 8.0697
```

Summary:
Space-group type: P6_3/mmc, No. 194
Calculated volume (Å³ per atom): 29.79
DOS at the Fermi energy (states/eV/f.u.): 2.38


#two
Below is a relaxed ScAlHg crystal, with properties calculated at the PBE-GGA level.

```
6
Lattice="-0.4060 2.1419 -3.5254 -1.8181 -3.2727 -1.7790 -6.4795 2.4010 2.2049" Properties=species:S:1:pos:R:3 pbc="T T T"
Sc -1.9935 -1.2345 -0.5205
Sc -5.5980 3.0701 0.0731
Hg -5.8817 0.2063 0.8026
Hg -1.7098 1.6293 -1.2499
Al -3.2398 1.2005 1.1024
Al -4.3518 0.6351 -1.5498
```

Summary:
Space-group type: P4/nmm, No. 129
Calculated volume (Å³ per atom): 20.77
DOS at the Fermi energy (states/eV/f.u.): 3.42


#three
Below is a relaxed ScAlHg crystal, with properties calculated at the PBE-GGA level.

```
3
Lattice="4.5625 0.0000 0.0000 -2.2812 3.9512 0.0000 0.0000 0.0000 3.3318" Properties=species:S:1:pos:R:3 pbc="T T T"
Sc 0.0000 2.6342 2.2212
Hg 2.2812 1.3171 0.5576
Al 0.0000 0.0000 0.5534
```

Summary:
Space-group type: P-6m2, No. 187
Calculated volume (Å³ per atom): 20.02
DOS at the Fermi energy (states/eV/f.u.): 1.70


Stability ranking, top and bottom: #three is the most stable and #one is the least stable.


#one
Below is a relaxed ScAlHg crystal, with properties calculated at the PBE-GGA level.

```
3
Lattice="-0.3855 -3.4105 3.1849 -3.7264 -0.1490 2.8312 -3.2193 -3.3565 -0.5421" Properties=species:S:1:pos:R:3 pbc="T T T"
Sc -3.6657 -3.4580 2.7370
Hg -5.4985 -5.1870 4.1055
Al -1.8328 -1.7290 1.3685
```

Summary:
Space-group type: F-43m, No. 216
Calculated volume (Å³ per atom): 24.20
DOS at the Fermi energy (states/eV/f.u.): 2.59


#two
Below is a relaxed ScAlHg crystal, with properties calculated at the PBE-GGA level.

```
6
Lattice="-2.4749 1.9240 -0.6299 -3.0878 -2.8337 3.4745 3.1845 5.3826 3.9340" Properties=species:S:1:pos:R:3 pbc="T T T"
Sc -3.3357 1.1396 1.4369
Sc -2.1083 3.7573 4.6099
Hg -3.6868 -1.3599 3.2940
Hg 0.7176 4.3326 3.3823
Al -0.7530 2.1474 2.4822
Al -2.2163 0.8254 4.1944
```

Summary:
Space-group type: P2/m, No. 10
Calculated volume (Å³ per atom): 20.55
DOS at the Fermi energy (states/eV/f.u.): 2.35


#three
Below is a relaxed ScAlHg crystal, with properties calculated at the PBE-GGA level.

```
6
Lattice="-0.3752 3.9893 1.6794 -4.0651 0.0233 -0.9634 -1.2207 -4.6158 5.0400" Properties=species:S:1:pos:R:3 pbc="T T T"
Sc -1.7667 0.0019 1.0645
Sc -2.4954 0.9909 4.1640
Hg -4.3209 -0.9564 2.7611
Hg -4.0064 1.9725 1.5033
Al -4.5863 -3.7944 3.8128
Al -2.7414 -1.8114 5.1342
```

Summary:
Space-group type: P2/m, No. 10
Calculated volume (Å³ per atom): 19.93
DOS at the Fermi energy (states/eV/f.u.): 2.29


Stability ranking, top and bottom: #three is the most stable and #one is the least stable.


#one
Below is a relaxed ScAlHg crystal, with properties calculated at the PBE-GGA level.

```
6
Lattice="3.1768 -0.0124 0.0105 -3.1411 7.4569 -0.0042 3.1478 -1.4877 5.2269" Properties=species:S:1:pos:R:3 pbc="T T T"
Sc 1.8669 0.7389 0.6301
Sc -1.2967 5.1041 1.6424
Hg 3.4388 -0.2959 3.2057
Hg 0.2811 2.6449 2.5057
Al 0.2759 4.5274 4.4906
Al 3.4377 1.7678 5.1035
```

Summary:
Space-group type: Pm, No. 6
Calculated volume (Å³ per atom): 20.57
DOS at the Fermi energy (states/eV/f.u.): 2.01


#two
Below is a relaxed ScAlHg crystal, with properties calculated at the PBE-GGA level.

```
6
Lattice="4.5739 -0.0010 0.0000 -2.2861 3.9616 0.0000 0.0000 0.0000 6.6158" Properties=species:S:1:pos:R:3 pbc="T T T"
Sc -1.1430 1.9808 3.3079
Sc -1.1430 1.9808 0.0000
Al 1.1437 3.3009 4.9619
Al 1.1441 0.6596 1.6540
Hg 1.1431 0.6602 4.9619
Hg 1.1447 3.3004 1.6540
```

Summary:
Space-group type: P6_3/mmc, No. 194
Calculated volume (Å³ per atom): 19.98
DOS at the Fermi energy (states/eV/f.u.): 1.79


Stability ranking, top and bottom: #two is the most stable and #one is the least stable.


#one
Below is a relaxed ScAlHg crystal, with properties calculated at the PBE-GGA level.

```
12
Lattice="-3.2150 -5.2581 -5.6616 -2.7436 -3.0116 4.3550 -3.8648 2.8573 -0.4589" Properties=species:S:1:pos:R:3 pbc="T T T"
Sc -1.7587 -2.5050 -0.7987
Sc -4.5269 -1.7055 2.0933
Sc -8.0648 -2.9073 -0.9668
Sc -5.2966 -3.7069 -3.8588
Hg -6.6930 -1.4017 -3.1443
Hg -6.6683 -5.2127 -1.6811
Hg -3.1306 -4.0107 1.3788
Hg -3.1552 -0.1997 -0.0844
Al 0.0000 0.0000 0.0000
Al -4.9118 -2.7062 -0.8827
Al -3.5399 -1.2004 -3.0602
Al -1.3718 -1.5058 2.1775
```

Summary:
Space-group type: P6_3/mmc, No. 194
Calculated volume (Å³ per atom): 20.08
DOS at the Fermi energy (states/eV/f.u.): 0.86


#two
Below is a relaxed ScAlHg crystal, with properties calculated at the PBE-GGA level.

```
6
Lattice="4.5520 0.0000 0.0234 0.0000 4.0651 -0.0001 2.2126 0.0002 6.6543" Properties=species:S:1:pos:R:3 pbc="T T T"
Sc 4.8153 3.6612 1.6182
Sc 4.7967 1.6288 3.9946
Hg 2.5018 1.6288 5.8989
Hg 4.7706 3.6614 6.3448
Al 2.5266 3.6613 3.6765
Al 2.5335 1.6287 1.9132
```

Summary:
Space-group type: P2_1/m, No. 11
Calculated volume (Å³ per atom): 20.49
DOS at the Fermi energy (states/eV/f.u.): 1.44


#three
Below is a relaxed ScAlHg crystal, with properties calculated at the PBE-GGA level.

```
6
Lattice="4.4075 0.0000 0.0000 0.0000 4.2171 0.0152 0.0000 2.0893 6.6163" Properties=species:S:1:pos:R:3 pbc="T T T"
Sc 4.1237 3.2794 1.6226
Sc 4.1237 5.3818 3.9436
Hg 1.9197 5.3748 6.0911
Hg 4.1234 3.2664 6.0835
Al 1.9199 3.2731 3.6687
Al 1.9199 1.1710 1.8825
```

Summary:
Space-group type: Cmmm, No. 65
Calculated volume (Å³ per atom): 20.47
DOS at the Fermi energy (states/eV/f.u.): 1.63


Stability ranking, top and bottom: #three is the most stable and #one is the least stable.